[1]
A relaxed TaCu2Cl2 crystal. Source: the Alexandria database, functional GGA-PBE.

Computed properties:
Theoretical density (g cm⁻³): 7.62
Distance to the lowest polymorph of the same formula (meV/atom): 5.3
D(E_F) (states/eV/cell): 7.62
Total moment (μB per cell): 0.00

Cell: 7.0555 7.0555 3.3192 Å, 90.00 90.00 90.00°
Last column: nearest neighbours and their distance in Å.
Fractional coordinates of all 10 atoms:
Cl 0.1947 0.6947 0.5000  2 Cu 2.44
Cl 0.6947 0.8053 0.5000  2 Cu 2.44
Cl 0.8053 0.3053 0.5000  2 Cu 2.44
Cl 0.3053 0.1947 0.5000  2 Cu 2.44
Cu 0.3739 0.8739 0.0000  2 Cl 2.44, 1 Cu 2.52
Cu 0.8739 0.6261 0.0000  2 Cl 2.44, 1 Cu 2.52
Cu 0.6261 0.1261 0.0000  2 Cl 2.44, 1 Cu 2.52
Cu 0.1261 0.3739 0.0000  2 Cl 2.44, 1 Cu 2.52
Ta 0.0000 0.0000 0.0000  4 Cu 2.78, 8 Cl 3.05
Ta 0.5000 0.5000 0.0000  4 Cu 2.78, 8 Cl 3.05

---

[2]
A relaxed TaCuCl2 crystal. Source: the Alexandria database, functional GGA-PBE.

Computed properties:
Theoretical density (g cm⁻³): 6.16
Distance to the lowest polymorph of the same formula (meV/atom): 467.3
D(E_F) (states/eV/cell): 2.82
Total moment (μB per cell): 0.80

Cell: 6.8651 6.8651 6.8651 Å, 155.10 141.25 46.61°
Last column: nearest neighbours and their distance in Å.
Fractional coordinates of all 4 atoms:
Cl 0.9205 0.9205 0.0000  2 Ta 2.53
Cl 0.2397 0.7397 0.5000  4 Ta 2.73, 2 Cl 2.96, 2 Cu 3.02
Cu 0.5823 0.5823 0.0000  2 Ta 2.66, 2 Cu 2.96
Ta 0.7575 0.2575 0.5000  6 Cl 2.53-2.73, 2 Cu 2.66

---

[3]
A relaxed TaCuCl2 crystal. Source: the Alexandria database, functional GGA-PBE.

Computed properties:
Theoretical density (g cm⁻³): 7.73
Distance to the lowest polymorph of the same formula (meV/atom): 773.1
D(E_F) (states/eV/cell): 3.35
Total moment (μB per cell): 0.17

Cell: 2.9644 5.4494 4.1964 Å, 90.00 90.00 90.00°
Last column: nearest neighbours and their distance in Å.
Fractional coordinates of all 4 atoms:
Cl 0.0000 0.0000 0.0000  4 Cu 2.57
Cl 0.5000 0.5000 0.0000  4 Ta 2.57
Cu 0.5000 0.0000 0.5000  4 Cl 2.57
Ta 0.0000 0.5000 0.5000  4 Cl 2.57

---

[4]
A relaxed TaCuCl2 crystal. Source: the Alexandria database, functional GGA-PBE.

Computed properties:
Theoretical density (g cm⁻³): 7.86
Distance to the lowest polymorph of the same formula (meV/atom): 955.3
D(E_F) (states/eV/cell): 1.87
Total moment (μB per cell): 0.00

Cell: 5.8316 5.8316 5.8316 Å, 144.46 144.46 51.14°
Last column: nearest neighbours and their distance in Å.
Fractional coordinates of all 4 atoms:
Cl 0.0000 0.0000 0.0000  4 Cu 2.52
Cl 0.2500 0.7500 0.5000  4 Ta 2.52
Cu 0.5000 0.5000 0.0000  4 Cl 2.52
Ta 0.7500 0.2500 0.5000  4 Cl 2.52

---

[5]
A relaxed TaCuCl2 crystal. Source: the Alexandria database, functional GGA-PBE.

Computed properties:
Theoretical density (g cm⁻³): 6.90
Distance to the lowest polymorph of the same formula (meV/atom): 184.5
D(E_F) (states/eV/cell): 1.71
Total moment (μB per cell): 0.19

Cell: 3.0748 3.0748 8.0304 Å, 90.00 90.00 90.00°
Last column: nearest neighbours and their distance in Å.
Fractional coordinates of all 4 atoms:
Cl 0.0000 0.0000 0.9205  4 Ta 2.71
Cl 0.5000 0.5000 0.3491  4 Cu 2.53
Cu 0.0000 0.0000 0.5111  4 Cl 2.53, 4 Ta 2.74
Ta 0.5000 0.5000 0.7193  5 Cl 2.71-2.97, 4 Cu 2.74

---

[6]
A relaxed TaCuCl2 crystal. Source: the Alexandria database, functional GGA-PBE.

Computed properties:
Theoretical density (g cm⁻³): 7.27
Distance to the lowest polymorph of the same formula (meV/atom): 593.8
D(E_F) (states/eV/cell): 2.19
Total moment (μB per cell): 0.00

Cell: 5.8205 5.8205 3.0046 Å, 59.57 59.57 88.41°
Last column: nearest neighbours and their distance in Å.
Fractional coordinates of all 4 atoms:
Cl 0.0000 0.0000 0.0000  2 Ta 2.51, 2 Cu 2.51
Cl 0.5000 0.5000 0.0000  2 Cu 2.51, 2 Ta 2.51
Cu 0.5000 0.0000 0.5000  4 Cl 2.51
Ta 0.0000 0.5000 0.5000  4 Cl 2.51

---

[7]
A relaxed TaCuCl crystal. Source: the Alexandria database, functional GGA-PBE.

Computed properties:
Theoretical density (g cm⁻³): 8.22
Distance to the lowest polymorph of the same formula (meV/atom): 0.0
D(E_F) (states/eV/cell): 2.04
Total moment (μB per cell): 0.00

Cell: 3.0455 3.0455 7.0420 Å, 90.00 90.00 120.00°
Last column: nearest neighbours and their distance in Å.
Fractional coordinates of all 3 atoms:
Cl 0.0000 0.0000 0.9348  3 Ta 2.53
Cu 0.6667 0.3333 0.3887  3 Ta 2.68
Ta 0.3333 0.6667 0.6765  3 Cl 2.53, 3 Cu 2.68

---

[8]
A relaxed TaCuCl4 crystal. Source: the Alexandria database, functional GGA-PBE.

Computed properties:
Theoretical density (g cm⁻³): 5.23
Total energy (eV/atom): -2.67
D(E_F) (states/eV/cell): 9.81
Total moment (μB per cell): 0.93

Cell: 5.5785 5.5785 5.5785 Å, 60.00 60.00 60.00°
Last column: nearest neighbours and their distance in Å.
Fractional coordinates of all 6 atoms:
Ta 0.0000 0.0000 0.0000  12 Cl 3.27, 4 Cu 3.42
Cu 0.7500 0.7500 0.7500  12 Cl 3.27, 4 Ta 3.42
Cl 0.8759 0.3747 0.3747  6 Cl 2.78-2.80
Cl 0.3747 0.3747 0.8759  6 Cl 2.78-2.80
Cl 0.3747 0.8759 0.3747  6 Cl 2.78-2.80
Cl 0.3747 0.3747 0.3747  6 Cl 2.78-2.80

---

Q: total moment of number 4 (TaCuCl2)?
A: 0.00 μB per cell

---

Q: total moment of number 2 (TaCuCl2)?
A: 0.80 μB per cell